# InPb2W (meta-GGA SCAN, PBEsol geometry)
# - ΔE_f: 1.04 eV/atom
data_InPb2W
_cell_length_a 4.393
_cell_length_b 4.393
_cell_length_c 9.399
_cell_angle_alpha 90.00
_cell_angle_beta 90.00
_cell_angle_gamma 90.00
_symmetry_space_group_name_H-M 'I -4 m 2'
_symmetry_Int_Tables_number 119
_symmetry_space_group_name_Hall 'I -4 -2'
loop_
_atom_site_label
_atom_site_type_symbol
_atom_site_fract_x
_atom_site_fract_y
_atom_site_fract_z
In1 In 0.000 0.000 0.000
Pb1 Pb 0.000 0.000 0.500
Pb2 Pb 0.000 0.500 0.250
W1 W 0.000 0.500 0.750



# InPb3W (meta-GGA SCAN, PBEsol geometry)
# - ΔE_f: 1.71 eV/atom
data_InPb3W
_cell_length_a 5.521
_cell_length_b 5.521
_cell_length_c 5.521
_cell_angle_alpha 90.00
_cell_angle_beta 90.00
_cell_angle_gamma 90.00
_symmetry_space_group_name_H-M 'P m -3 m'
_symmetry_Int_Tables_number 221
_symmetry_space_group_name_Hall '-P 4 2 3'
loop_
_atom_site_label
_atom_site_type_symbol
_atom_site_fract_x
_atom_site_fract_y
_atom_site_fract_z
In1 In 0.000 0.000 0.000
Pb1 Pb 0.000 0.000 0.500
W1 W 0.500 0.500 0.500



# InPbW2 (meta-GGA SCAN, PBEsol geometry)
# - Excess energy over the best structure of this formula in the dataset: 652 meV/atom
# - ΔE_f: 1.27 eV/atom
data_InPbW2
_cell_length_a 3.332
_cell_length_b 3.332
_cell_length_c 6.616
_cell_angle_alpha 90.00
_cell_angle_beta 90.00
_cell_angle_gamma 90.00
_symmetry_space_group_name_H-M 'P 4/m m m'
_symmetry_Int_Tables_number 123
_symmetry_space_group_name_Hall '-P 4 2'
loop_
_atom_site_label
_atom_site_type_symbol
_atom_site_fract_x
_atom_site_fract_y
_atom_site_fract_z
In1 In 0.000 0.000 0.000
Pb1 Pb 0.000 0.000 0.500
W1 W 0.500 0.500 0.237



# YIn2Pb (meta-GGA SCAN, PBEsol geometry)
# - ΔE_f: -0.48 eV/atom
data_YIn2Pb
_cell_length_a 4.392
_cell_length_b 4.392
_cell_length_c 10.287
_cell_angle_alpha 90.00
_cell_angle_beta 90.00
_cell_angle_gamma 90.00
_symmetry_space_group_name_H-M 'I 4/m m m'
_symmetry_Int_Tables_number 139
_symmetry_space_group_name_Hall '-I 4 2'
loop_
_atom_site_label
_atom_site_type_symbol
_atom_site_fract_x
_atom_site_fract_y
_atom_site_fract_z
Y1 Y 0.000 0.000 0.000
In1 In 0.000 0.500 0.250
Pb1 Pb 0.000 0.000 0.500



# YIn2Pb (meta-GGA SCAN, PBEsol geometry)
# - ΔE_f: -0.51 eV/atom
data_YIn2Pb
_cell_length_a 4.520
_cell_length_b 4.520
_cell_length_c 4.878
_cell_angle_alpha 90.00
_cell_angle_beta 90.00
_cell_angle_gamma 90.00
_symmetry_space_group_name_H-M 'P 4/m m m'
_symmetry_Int_Tables_number 123
_symmetry_space_group_name_Hall '-P 4 2'
loop_
_atom_site_label
_atom_site_type_symbol
_atom_site_fract_x
_atom_site_fract_y
_atom_site_fract_z
Y1 Y 0.000 0.000 0.000
In1 In 0.000 0.500 0.500
Pb1 Pb 0.500 0.500 0.000



# Y2InPb2 (meta-GGA SCAN, PBEsol geometry)
# - ΔE_f: -0.61 eV/atom
data_Y2InPb2
_cell_length_a 7.906
_cell_length_b 7.906
_cell_length_c 4.374
_cell_angle_alpha 90.00
_cell_angle_beta 90.00
_cell_angle_gamma 90.00
_symmetry_space_group_name_H-M 'P 4/m b m'
_symmetry_Int_Tables_number 127
_symmetry_space_group_name_Hall '-P 4 2ab'
loop_
_atom_site_label
_atom_site_type_symbol
_atom_site_fract_x
_atom_site_fract_y
_atom_site_fract_z
Y1 Y 0.172 0.328 0.000
In1 In 0.000 0.000 0.500
Pb1 Pb 0.135 0.635 0.500



# YInPb2 (meta-GGA SCAN, PBEsol geometry)
# - ΔE_f: -0.43 eV/atom
data_YInPb2
_cell_length_a 4.525
_cell_length_b 4.525
_cell_length_c 10.246
_cell_angle_alpha 90.00
_cell_angle_beta 90.00
_cell_angle_gamma 90.00
_symmetry_space_group_name_H-M 'I -4 m 2'
_symmetry_Int_Tables_number 119
_symmetry_space_group_name_Hall 'I -4 -2'
loop_
_atom_site_label
_atom_site_type_symbol
_atom_site_fract_x
_atom_site_fract_y
_atom_site_fract_z
Y1 Y 0.000 0.000 0.000
In1 In 0.000 0.500 0.250
Pb1 Pb 0.000 0.000 0.500
Pb2 Pb 0.000 0.500 0.750



# Y2In2Pb (meta-GGA SCAN, PBEsol geometry)
# - ΔE_f: -0.38 eV/atom
data_Y2In2Pb
_cell_length_a 3.985
_cell_length_b 3.985
_cell_length_c 17.695
_cell_angle_alpha 90.00
_cell_angle_beta 90.00
_cell_angle_gamma 90.00
_symmetry_space_group_name_H-M 'I 4/m m m'
_symmetry_Int_Tables_number 139
_symmetry_space_group_name_Hall '-I 4 2'
loop_
_atom_site_label
_atom_site_type_symbol
_atom_site_fract_x
_atom_site_fract_y
_atom_site_fract_z
Y1 Y 0.000 0.000 0.102
In1 In 0.000 0.500 0.250
Pb1 Pb 0.000 0.000 0.500



# YIn2Pb (meta-GGA SCAN, PBEsol geometry)
# - ΔE_f: -0.46 eV/atom
data_YIn2Pb
_cell_length_a 4.477
_cell_length_b 4.477
_cell_length_c 10.000
_cell_angle_alpha 90.00
_cell_angle_beta 90.00
_cell_angle_gamma 90.00
_symmetry_space_group_name_H-M 'I -4 m 2'
_symmetry_Int_Tables_number 119
_symmetry_space_group_name_Hall 'I -4 -2'
loop_
_atom_site_label
_atom_site_type_symbol
_atom_site_fract_x
_atom_site_fract_y
_atom_site_fract_z
Y1 Y 0.000 0.000 0.000
In1 In 0.000 0.000 0.500
In2 In 0.000 0.500 0.750
Pb1 Pb 0.000 0.500 0.250



# YInPb2 (meta-GGA SCAN, PBEsol geometry)
# - ΔE_f: -0.37 eV/atom
data_YInPb2
_cell_length_a 6.867
_cell_length_b 8.825
_cell_length_c 3.555
_cell_angle_alpha 90.00
_cell_angle_beta 90.00
_cell_angle_gamma 90.00
_symmetry_space_group_name_H-M 'C m m m'
_symmetry_Int_Tables_number 65
_symmetry_space_group_name_Hall '-C 2 2'
loop_
_atom_site_label
_atom_site_type_symbol
_atom_site_fract_x
_atom_site_fract_y
_atom_site_fract_z
Y1 Y 0.000 0.000 0.000
In1 In 0.000 0.500 0.000
Pb1 Pb 0.250 0.250 0.500



# YInPb2 (meta-GGA SCAN, PBEsol geometry)
# - ΔE_f: -0.34 eV/atom
data_YInPb2
_cell_length_a 4.136
_cell_length_b 4.136
_cell_length_c 6.344
_cell_angle_alpha 90.00
_cell_angle_beta 90.00
_cell_angle_gamma 90.00
_symmetry_space_group_name_H-M 'P 4 m m'
_symmetry_Int_Tables_number 99
_symmetry_space_group_name_Hall 'P 4 -2'
loop_
_atom_site_label
_atom_site_type_symbol
_atom_site_fract_x
_atom_site_fract_y
_atom_site_fract_z
Y1 Y 0.000 0.000 0.000
In1 In 0.500 0.500 0.258
Pb1 Pb 0.000 0.000 0.497
Pb2 Pb 0.500 0.500 0.768



# Y2In3Pb3 (meta-GGA SCAN, PBEsol geometry)
# - ΔE_f: -0.49 eV/atom
data_Y2In3Pb3
_cell_length_a 4.640
_cell_length_b 4.825
_cell_length_c 9.147
_cell_angle_alpha 90.00
_cell_angle_beta 90.00
_cell_angle_gamma 90.00
_symmetry_space_group_name_H-M 'P m m m'
_symmetry_Int_Tables_number 47
_symmetry_space_group_name_Hall '-P 2 2'
loop_
_atom_site_label
_atom_site_type_symbol
_atom_site_fract_x
_atom_site_fract_y
_atom_site_fract_z
Y1 Y 0.000 0.000 0.248
In1 In 0.000 0.500 0.000
In2 In 0.500 0.500 0.243
Pb1 Pb 0.000 0.500 0.500
Pb2 Pb 0.500 0.000 0.000
Pb3 Pb 0.500 0.000 0.500